[1]
Here is a relaxed structure of RbSr2P from Alexandria. Energies are from GGA-PBE.

Computed properties:
DOS(E_F): 2.925 states/eV/cell
mass density: 2.27 Mg/m³
space group: No. 166
E_form: -0.58 eV per atom

Cell: 4.494 4.494 12.483 Å, 79.63 79.63 60.00°
Fractional positions:
1 Sr 0.124 0.124 0.628
2 Sr 0.876 0.876 0.372
3 Rb 0.000 0.000 0.000
4 P 0.500 0.500 0.500

***

[2]
Here is a relaxed structure of Zr2ScCu from Alexandria. Energies are from GGA-PBE.

Computed properties:
DOS(E_F): 6.013 states/eV/cell
mass density: 5.99 Mg/m³
space group: No. 139
E above lowest polymorph: 15.6 kJ/mol of atoms
E_form: 0.05 eV per atom

Cell: 5.483 5.483 5.483 Å, 135.20 135.20 65.23°
Fractional positions:
1 Cu 0.250 0.750 0.500
2 Sc 0.750 0.250 0.500
3 Zr 0.000 0.000 0.000
4 Zr 0.500 0.500 0.000

***

[3]
Here is a relaxed structure of YMgIn4 from Alexandria. Energies are from GGA-PBE.

Computed properties:
DOS(E_F): 6.357 states/eV/cell
mass density: 6.08 Mg/m³
space group: No. 216
E_form: -0.07 eV per atom

Cell: 6.048 6.048 6.048 Å, 60.00 60.00 60.00°
Fractional positions:
1 Y 0.000 0.000 0.000
2 Mg 0.750 0.750 0.750
3 In 0.874 0.375 0.375
4 In 0.375 0.375 0.874
5 In 0.375 0.874 0.375
6 In 0.375 0.375 0.375

***

[4]
Here is a relaxed structure of TeRuSe2 from Alexandria. Energies are from GGA-PBE.

Computed properties:
ΔE_f (raw): 0.15 eV/atom
DOS(E_F): 2.871 states/eV/cell
mass density: 7.30 Mg/m³
space group: No. 44

Cell: 6.728 6.728 6.728 Å, 152.99 140.38 48.61°
Fractional positions:
1 Ru 0.232 0.732 0.500
2 Se 0.078 0.078 0.000
3 Se 0.766 0.266 0.500
4 Te 0.424 0.424 0.000

***

[5]
Here is a relaxed structure of HfAuCl6 from Alexandria. Energies are from GGA-PBE.

Computed properties:
ΔE_f (raw): -1.15 eV/atom
DOS(E_F): 1.702 states/eV/cell
mass density: 4.00 Mg/m³
space group: No. 2

Cell: 5.820 7.679 7.449 Å, 53.26 70.09 67.86°
Each line ends with the local moment (μB).
Fractional positions:
1 Hf 0.000 0.000 0.000  0.01
2 Au 0.500 0.500 0.500  0.38
3 Cl 0.143 0.353 0.805  0.11
4 Cl 0.810 0.147 0.663  0.09
5 Cl 0.635 0.172 0.155  0.04
6 Cl 0.190 0.853 0.337  0.09
7 Cl 0.857 0.647 0.195  0.11
8 Cl 0.365 0.828 0.845  0.04

***

[6]
Here is a relaxed structure of VCrMoPt from Alexandria. Energies are from GGA-PBE.

Computed properties:
DOS(E_F): 3.704 states/eV/cell
mass density: 11.35 Mg/m³
space group: No. 216
E_form: -0.14 eV per atom

Cell: 4.336 4.336 4.336 Å, 60.00 60.00 60.00°
Each line ends with the local moment (μB).
Fractional positions:
1 Cr 0.000 0.000 0.000  2.34
2 Mo 0.250 0.250 0.250  -0.48
3 Pt 0.750 0.750 0.750  0.23
4 V 0.500 0.500 0.500  0.57